No. 1
{"formula": "TlAg2Sn3", "functional": "PBE-GGA", "state": "optimized geometry", "lattice": [[5.727, 0.000, 0.000], [0.000, 7.376, -2.647], [0.000, -0.065, 7.836]], "species": ["Tl", "Tl", "Ag", "Ag", "Ag", "Ag", "Sn", "Sn", "Sn", "Sn", "Sn", "Sn"], "frac_coords": [[0.250, 0.331, 0.331], [0.750, 0.669, 0.669], [0.500, 0.688, 0.312], [0.000, 0.688, 0.312], [0.000, 0.312, 0.688], [0.500, 0.312, 0.688], [0.750, 0.417, 0.037], [0.750, 0.037, 0.417], [0.250, 0.583, 0.963], [0.750, 0.044, 0.044], [0.250, 0.956, 0.956], [0.250, 0.963, 0.583]], "final_energy_ev_per_cell": -39.38, "formation_energy_ev_per_atom": 0.06, "crystal_system": "orthorhombic", "magmom_total_mub_per_cell": 0.0}

=====

No. 2
{"formula": "TlAg2Sn", "functional": "PBE-GGA", "state": "optimized geometry", "lattice": [[-1.880, 4.756, -6.174], [0.294, -6.303, -4.945], [-3.791, -1.307, -5.058]], "species": ["Tl", "Tl", "Sn", "Sn", "Ag", "Ag", "Ag", "Ag"], "frac_coords": [[0.000, 0.000, 0.000], [0.750, 0.250, 0.500], [0.500, 0.500, 0.000], [0.250, 0.750, 0.500], [0.613, 0.125, 0.250], [0.137, 0.625, 0.250], [0.375, 0.387, 0.750], [0.875, 0.863, 0.750]], "polymorph_energy_ev_per_fu": 0.46, "final_energy_ev_per_cell": -22.45, "formation_energy_ev_per_atom": 0.21, "crystal_system": "tetragonal", "magmom_total_mub_per_cell": 0.0}

=====

No. 3
{"formula": "Tl2Ag2Sn", "functional": "PBE-GGA", "state": "optimized geometry", "lattice": [[-4.516, -4.682, 3.790], [4.169, -5.848, -2.258], [2.569, 0.440, 3.603]], "species": ["Tl", "Tl", "Tl", "Tl", "Sn", "Sn", "Ag", "Ag", "Ag", "Ag"], "frac_coords": [[0.167, 0.667, 0.500], [0.667, 0.833, 0.500], [0.833, 0.333, 0.500], [0.333, 0.167, 0.500], [0.000, 0.000, 0.000], [0.500, 0.500, 0.000], [0.365, 0.865, 0.000], [0.865, 0.635, 0.000], [0.635, 0.135, 0.000], [0.135, 0.365, 0.000]], "polymorph_energy_ev_per_fu": 0.00, "final_energy_ev_per_cell": -27.81, "formation_energy_ev_per_atom": 0.11, "crystal_system": "tetragonal", "magmom_total_mub_per_cell": 0.0}

=====

No. 4
{"formula": "TlAg2Sn2", "functional": "PBE-GGA", "state": "optimized geometry", "lattice": [[-6.521, 5.759, 0.661], [-5.611, -6.521, 1.454], [0.537, 0.245, 3.171]], "species": ["Tl", "Tl", "Sn", "Sn", "Sn", "Sn", "Ag", "Ag", "Ag", "Ag"], "frac_coords": [[0.000, 0.000, 0.000], [0.500, 0.500, 0.000], [0.143, 0.643, 0.500], [0.643, 0.857, 0.500], [0.857, 0.357, 0.500], [0.357, 0.143, 0.500], [0.347, 0.847, 0.000], [0.847, 0.653, 0.000], [0.653, 0.153, 0.000], [0.153, 0.347, 0.000]], "polymorph_energy_ev_per_fu": 0.00, "final_energy_ev_per_cell": -31.51, "formation_energy_ev_per_atom": 0.06, "crystal_system": "tetragonal", "magmom_total_mub_per_cell": 0.0}

=====

No. 5
{"formula": "Tl2Ag2Sn", "functional": "PBE-GGA", "state": "optimized geometry", "lattice": [[8.785, 0.000, 0.000], [0.000, 8.785, 0.000], [0.000, 0.000, 3.208]], "species": ["Tl", "Tl", "Tl", "Tl", "Sn", "Sn", "Ag", "Ag", "Ag", "Ag"], "frac_coords": [[0.358, 0.858, 0.000], [0.858, 0.642, 0.000], [0.642, 0.142, 0.000], [0.142, 0.358, 0.000], [0.000, 0.000, 0.000], [0.500, 0.500, 0.000], [0.156, 0.656, 0.500], [0.656, 0.844, 0.500], [0.844, 0.344, 0.500], [0.344, 0.156, 0.500]], "polymorph_energy_ev_per_fu": 0.45, "final_energy_ev_per_cell": -26.92, "formation_energy_ev_per_atom": 0.20, "crystal_system": "tetragonal", "magmom_total_mub_per_cell": 0.0}

=====

No. 6
{"formula": "Tl3Ag2Sn9", "functional": "PBE-GGA", "state": "optimized geometry", "lattice": [[-2.273, 6.410, 6.710], [2.273, -6.410, 6.710], [2.273, 6.410, -6.710]], "species": ["Tl", "Tl", "Tl", "Ag", "Ag", "Sn", "Sn", "Sn", "Sn", "Sn", "Sn", "Sn", "Sn", "Sn"], "frac_coords": [[0.000, 0.000, 0.000], [0.282, 0.282, 0.000], [0.718, 0.718, 0.000], [0.348, 0.500, 0.848], [0.652, 0.500, 0.152], [0.500, 0.000, 0.500], [0.023, 0.378, 0.645], [0.977, 0.622, 0.355], [0.733, 0.378, 0.355], [0.267, 0.622, 0.645], [0.845, 0.150, 0.695], [0.155, 0.850, 0.305], [0.455, 0.150, 0.305], [0.545, 0.850, 0.695]], "final_energy_ev_per_cell": -48.28, "formation_energy_ev_per_atom": 0.04, "crystal_system": "orthorhombic", "magmom_total_mub_per_cell": 0.0}

=====

No. 7
{"formula": "TlAg2Sn2", "functional": "PBE-GGA", "state": "optimized geometry", "lattice": [[4.486, 0.000, 0.000], [0.000, 4.486, 0.000], [2.243, 2.243, 6.426]], "species": ["Tl", "Sn", "Sn", "Ag", "Ag"], "frac_coords": [[0.000, 0.000, 0.000], [0.385, 0.385, 0.229], [0.615, 0.615, 0.771], [0.750, 0.250, 0.500], [0.250, 0.750, 0.500]], "polymorph_energy_ev_per_fu": 0.15, "final_energy_ev_per_cell": -15.61, "formation_energy_ev_per_atom": 0.09, "crystal_system": "tetragonal", "magmom_total_mub_per_cell": 0.0}

=====

No. 8
{"formula": "Tl2Ag3Sn9", "functional": "PBE-GGA", "state": "optimized geometry", "lattice": [[-8.348, -2.440, 0.748], [5.845, -5.963, -2.545], [5.308, 0.884, 10.758]], "species": ["Tl", "Tl", "Tl", "Tl", "Ag", "Ag", "Ag", "Ag", "Ag", "Ag", "Sn", "Sn", "Sn", "Sn", "Sn", "Sn", "Sn", "Sn", "Sn", "Sn", "Sn", "Sn", "Sn", "Sn", "Sn", "Sn", "Sn", "Sn"], "frac_coords": [[0.267, 0.254, 0.744], [0.733, 0.746, 0.256], [0.010, 0.524, 0.756], [0.990, 0.476, 0.244], [0.500, 0.000, 0.000], [0.500, 0.500, 0.500], [0.852, 0.166, 0.547], [0.148, 0.834, 0.453], [0.119, 0.305, 0.953], [0.881, 0.695, 0.047], [0.356, 0.911, 0.733], [0.644, 0.089, 0.267], [0.678, 0.623, 0.767], [0.322, 0.377, 0.233], [0.476, 0.652, 0.930], [0.524, 0.348, 0.070], [0.222, 0.546, 0.570], [0.778, 0.454, 0.430], [0.770, 0.020, 0.750], [0.230, 0.980, 0.250], [0.113, 0.949, 0.918], [0.887, 0.051, 0.082], [0.530, 0.194, 0.582], [0.470, 0.806, 0.418], [0.913, 0.839, 0.596], [0.087, 0.161, 0.404], [0.743, 0.318, 0.904], [0.257, 0.682, 0.096]], "final_energy_ev_per_cell": -96.85, "formation_energy_ev_per_atom": 0.06, "crystal_system": "monoclinic", "magmom_total_mub_per_cell": 0.0}

=====

Number 4 is which compound? TlAg2Sn2